An optimized crystal structure of UCo2Pd, computed with GGA-PBE.

a = 2.7589 Å, b = 2.7589 Å, c = 27.3097 Å
α = 90.00°, β = 90.00°, γ = 120.00°
Last column: nearest neighbours and their distance in Å.
Space group R-3m (No. 166, hexagonal axes)
One atom of each set of equivalent atoms:
U 0.0000 0.0000 0.0000  6 U 2.76, 6 Co 2.92
Co 0.0000 0.0000 0.2436  3 Pd 2.64, 6 Co 2.76, 3 U 2.92
Pd 0.0000 0.0000 0.5000  6 Co 2.64, 6 Pd 2.76


An optimized crystal structure of UCoPd, computed with GGA-PBE.

Results
**Offset from the most stable computed form**: 0.0 meV per atom

a = 3.1509 Å, b = 3.1509 Å, c = 10.0948 Å
α = 90.00°, β = 90.00°, γ = 90.00°
Last column: nearest neighbours and their distance in Å.
Space group I4mm (No. 107)
One atom of each set of equivalent atoms:
U 0.0000 0.0000 0.0000  4 Co 2.63
Co 0.0000 0.0000 0.3607  4 U 2.63, 4 Pd 2.75
Pd 0.0000 0.0000 0.7013  4 Co 2.75, 5 U 3.01-3.02


An optimized crystal structure of V2CoPd, computed with GGA-PBE.

Results
**Offset from the most stable computed form**: 45.0 meV per atom

a = 3.7025 Å, b = 3.7025 Å, c = 3.7868 Å
α = 90.00°, β = 90.00°, γ = 90.00°
Last column: nearest neighbours and their distance in Å.
Space group P4/mmm (No. 123)
One atom of each set of equivalent atoms:
V 0.0000 0.5000 0.0000  4 V 2.62, 4 Co 2.65, 4 Pd 2.65
Co 0.0000 0.0000 0.5000  4 Pd 2.62, 8 V 2.65
Pd 0.5000 0.5000 0.5000  4 Co 2.62, 8 V 2.65


An optimized crystal structure of VCoPd6, computed with GGA-PBE.

Results
**Offset from the most stable computed form**: 0.0 meV per atom

a = 3.8785 Å, b = 3.8785 Å, c = 7.7857 Å
α = 90.00°, β = 90.00°, γ = 90.00°
Last column: nearest neighbours and their distance in Å.
Space group P4/mmm (No. 123)
One atom of each set of equivalent atoms:
V 0.0000 0.0000 0.0000  12 Pd 2.73-2.74
Co 0.0000 0.0000 0.5000  12 Pd 2.74-2.76
Pd 0.0000 0.5000 0.2470  8 Pd 2.73-2.76, 2 V 2.73, 2 Co 2.76
Pd 0.5000 0.5000 0.0000  8 Pd 2.73, 4 V 2.74
Pd 0.5000 0.5000 0.5000  4 Co 2.74, 8 Pd 2.76


An optimized crystal structure of V2CoPd, computed with GGA-PBE.

Results
**Offset from the most stable computed form**: 552.2 meV per atom

a = 3.6694 Å, b = 3.6694 Å, c = 16.8332 Å
α = 90.00°, β = 90.00°, γ = 90.00°
Last column: nearest neighbours and their distance in Å.
Space group I-42d (No. 122)
One atom of each set of equivalent atoms:
V 0.2306 0.2500 0.1250  2 Co 2.45, 4 V 2.50-2.70, 2 Pd 2.50
Co 0.0000 0.0000 0.0000  4 V 2.45, 4 Pd 2.59
Pd 0.0000 0.0000 0.5000  4 V 2.50, 4 Co 2.59


An optimized crystal structure of VCoPd2, computed with GGA-PBE.

Results
**Offset from the most stable computed form**: 174.6 meV per atom

a = 6.0858 Å, b = 6.0858 Å, c = 6.0858 Å
α = 90.00°, β = 90.00°, γ = 90.00°
Last column: nearest neighbours and their distance in Å.
Space group Fm-3m (No. 225)
One atom of each set of equivalent atoms:
V 0.0000 0.0000 0.0000  8 Pd 2.64
Co 0.0000 0.0000 0.5000  8 Pd 2.64
Pd 0.2500 0.2500 0.2500  4 Co 2.64, 4 V 2.64


An optimized crystal structure of V2CoPd, computed with GGA-PBE.

Results
**Offset from the most stable computed form**: 176.6 meV per atom

a = 2.6729 Å, b = 2.6729 Å, c = 25.5120 Å
α = 90.00°, β = 90.00°, γ = 120.00°
Last column: nearest neighbours and their distance in Å.
Space group R3m (No. 160, hexagonal axes)
One atom of each set of equivalent atoms:
V 0.0000 0.0000 0.0000  3 Co 2.53, 6 V 2.67, 3 Pd 2.73
V 0.0000 0.0000 0.1760  3 Co 2.53, 6 V 2.67, 3 Pd 2.72
Co 0.0000 0.0000 0.5879  6 V 2.53, 6 Co 2.67
Pd 0.0000 0.0000 0.4218  6 Pd 2.67, 6 V 2.72-2.73


An optimized crystal structure of V2CoPd, computed with GGA-PBE.

Results
**Offset from the most stable computed form**: 253.9 meV per atom

a = 6.0134 Å, b = 6.0134 Å, c = 6.0134 Å
α = 90.00°, β = 90.00°, γ = 90.00°
Last column: nearest neighbours and their distance in Å.
Space group Fm-3m (No. 225)
One atom of each set of equivalent atoms:
V 0.2500 0.2500 0.2500  4 Co 2.60, 4 Pd 2.60
Co 0.0000 0.0000 0.0000  8 V 2.60
Pd 0.0000 0.0000 0.5000  8 V 2.60


An optimized crystal structure of V2Co2Pd, computed with GGA-PBE.

Results
**Offset from the most stable computed form**: 257.1 meV per atom

a = 3.8537 Å, b = 3.8537 Å, c = 9.2321 Å
α = 90.00°, β = 90.00°, γ = 90.00°
Last column: nearest neighbours and their distance in Å.
Space group I4/mmm (No. 139)
One atom of each set of equivalent atoms:
V 0.0000 0.5000 0.2500  4 Co 2.28
Co 0.0000 0.0000 0.1179  1 Co 2.18, 4 V 2.28
Pd 0.0000 0.0000 0.5000  8 Co 2.93, 8 V 3.01


An optimized crystal structure of VCo2Pd2, computed with GGA-PBE.

a = 5.9184 Å, b = 5.9184 Å, c = 3.8720 Å
α = 90.00°, β = 90.00°, γ = 90.00°
Last column: nearest neighbours and their distance in Å.
Space group P4/mbm (No. 127)
One atom of each set of equivalent atoms:
V 0.0000 0.0000 0.0000  4 Co 2.31
Co 0.1335 0.3665 0.0000  1 Co 2.23, 2 V 2.31
Pd 0.1689 0.6689 0.5000  6 Co 2.55-2.64, 1 Pd 2.83


An optimized crystal structure of V2Co2Pd, computed with GGA-PBE.

Results
**Offset from the most stable computed form**: 0.0 meV per atom

a = 6.7465 Å, b = 6.7465 Å, c = 2.7550 Å
α = 90.00°, β = 90.00°, γ = 90.00°
Last column: nearest neighbours and their distance in Å.
Space group P4/mbm (No. 127)
One atom of each set of equivalent atoms:
V 0.1677 0.3323 0.0000  6 Co 2.36-2.45
Co 0.1310 0.6310 0.5000  6 V 2.36-2.45, 1 Co 2.50, 2 Pd 2.64
Pd 0.0000 0.0000 0.5000  4 Co 2.64, 2 Pd 2.75, 8 V 2.86


An optimized crystal structure of VCoPd6, computed with GGA-PBE.

Results
**Offset from the most stable computed form**: 131.8 meV per atom

a = 4.9344 Å, b = 4.9542 Å, c = 4.9576 Å
α = 92.43°, β = 92.22°, γ = 92.26°
Last column: nearest neighbours and their distance in Å.
Space group P-1 (No. 2)
One atom of each set of equivalent atoms:
V 0.0000 0.0000 0.0000  12 Pd 2.65-2.91
Co 0.5000 0.5000 0.5000  12 Pd 2.67-2.88
Pd 0.0279 0.4657 0.7491  3 Pd 2.51-2.81, 1 V 2.67, 1 Co 2.68
Pd 0.2508 0.9687 0.5378  4 Pd 2.51-2.81, 1 V 2.65, 1 Co 2.67
Pd 0.4664 0.7492 0.0295  3 Pd 2.51-2.80, 1 V 2.66, 1 Co 2.69


no.,total energy (eV per atom),calculated formation energy (eV/atom)
1,-7.387,0.29
2,-7.956,-0.09
3,-7.762,-0.13
4,-6.020,-0.10
5,-7.255,0.38
6,-6.603,0.05
7,-7.630,0.00
8,-7.553,0.08
9,-7.453,0.08
10,-6.655,0.09
11,-7.710,-0.18
12,-5.888,0.03